# 1
The following is a DFT calculation (PBEsol) of a geometry-optimized Mg9CuO10 structure.

Properties
**Uncorrected energy**: -6.11 eV/atom
**Calculated volume**: 187.4 Å³/f.u.
**DOS at the Fermi energy**: 5.51 states/eV/cell

Cell and atoms, written as POSCAR:
```
Mg9CuO10
1.0
-2.485 -0.157 -1.647
0.990 -6.327 1.815
-5.270 3.456 7.621
Mg Cu O
9 1 10
Cartesian
0.000 0.000 0.000 Mg
-1.248 -4.435 2.306 Mg
-4.890 -0.737 7.448 Mg
-5.126 -2.797 5.295 Mg
-1.875 -2.291 0.341 Mg
-3.504 -2.572 2.827 Mg
-1.639 -0.231 2.495 Mg
-3.261 -0.456 4.963 Mg
-5.517 1.407 5.483 Mg
-3.877 1.650 2.987 Cu
-2.059 -0.200 0.420 O
-4.706 -2.828 7.370 O
-3.293 -4.636 2.705 O
-3.472 1.608 5.085 O
-1.680 -4.389 0.248 O
-3.073 -2.574 4.882 O
-1.447 -2.339 2.406 O
-5.085 1.361 7.542 O
-5.318 -0.689 5.384 O
-3.692 -0.455 2.908 O
```

=====

# 2
The following is a DFT calculation (PBEsol) of a geometry-optimized Mg7Cu2O9 structure.

Properties
**Uncorrected energy**: -5.98 eV/atom
**Calculated volume**: 168.1 Å³/f.u.
**DOS at the Fermi energy**: 4.70 states/eV/cell

Cell and atoms, written as POSCAR:
```
Mg7Cu2O9
1.0
-0.927 1.117 2.605
6.327 -1.902 3.067
3.428 6.333 -3.204
Mg Cu O
7 2 9
Cartesian
3.732 3.179 -0.035 Mg
5.096 2.370 2.504 Mg
4.290 6.049 0.640 Mg
1.004 2.279 -0.620 Mg
4.538 -0.500 1.829 Mg
-0.464 0.559 1.303 Mg
7.824 3.270 3.089 Mg
2.310 1.455 1.905 Cu
6.517 4.094 0.564 Cu
1.902 3.330 0.956 O
4.172 1.352 0.905 O
1.369 0.435 0.301 O
6.926 2.219 1.513 O
3.359 5.051 -0.970 O
2.700 -0.392 2.836 O
5.468 0.499 3.440 O
4.656 4.197 1.564 O
7.459 5.115 2.168 O
```

=====

# 3
The following is a DFT calculation (PBEsol) of a geometry-optimized MgCu3O structure.

Properties
**Uncorrected energy**: -2.43 eV/atom
**Calculated volume**: 85.5 Å³/f.u.
**Energy relative to the lowest polymorph listed for this composition**: 1551 meV/atom
**DOS at the Fermi energy**: 1.92 states/eV/cell

Cell and atoms, written as POSCAR:
```
MgCu3O
1.0
-0.672 -4.307 -0.632
4.177 -0.818 1.132
-1.224 -0.426 4.210
Mg O Cu
1 1 3
Cartesian
0.000 0.000 0.000 Mg
1.140 -2.776 2.355 O
2.089 -0.409 0.566 Cu
-0.612 -0.213 2.105 Cu
-0.336 -2.153 -0.316 Cu
```

=====

# 4
The following is a DFT calculation (PBEsol) of a geometry-optimized MgCuP4O12 structure.

Properties
**Uncorrected energy**: -7.21 eV/atom
**Calculated volume**: 210.4 Å³/f.u.
**DOS at the Fermi energy**: 0.35 states/eV/cell

Cell and atoms, written as POSCAR:
```
MgCuP4O12
1.0
7.147 0.100 0.056
-2.332 6.757 -0.056
-3.248 -2.838 8.661
Mg Cu P O
2 2 8 24
Cartesian
3.151 -1.732 6.538 Mg
-1.583 5.750 2.123 Mg
-1.624 -1.419 4.331 Cu
-1.166 3.378 -0.028 Cu
0.153 -0.225 6.863 P
-3.893 2.617 6.101 P
1.414 4.243 1.798 P
5.461 1.401 2.561 P
1.435 1.674 0.187 P
3.037 0.549 4.172 P
0.132 2.344 8.474 P
-1.470 3.469 4.489 P
-0.225 1.252 7.355 O
-2.375 2.763 5.609 O
1.792 2.766 1.306 O
3.943 1.255 3.052 O
-0.467 -1.186 7.988 O
2.560 1.807 5.032 O
2.035 5.205 0.673 O
-0.992 2.212 3.629 O
-0.517 -0.417 5.550 O
-3.847 1.921 7.414 O
2.085 4.436 3.111 O
5.415 2.097 1.247 O
1.641 -0.396 6.944 O
2.588 4.059 6.076 O
-0.074 4.414 1.717 O
-1.020 -0.040 2.586 O
-2.943 -0.637 7.967 O
3.917 -0.336 5.053 O
4.511 4.656 0.694 O
-2.349 4.354 3.608 O
1.294 0.351 0.817 O
1.841 -0.033 3.542 O
0.274 3.667 7.845 O
-0.273 4.051 5.119 O
```

=====

# 5
The following is a DFT calculation (PBEsol) of a geometry-optimized MgCuP2O7 structure.

Properties
**Uncorrected energy**: -7.03 eV/atom
**Calculated volume**: 118.6 Å³/f.u.
**Energy relative to the lowest polymorph listed for this composition**: 0 meV/atom

Cell and atoms, written as POSCAR:
```
MgCuP2O7
1.0
6.882 0.000 -0.082
0.000 8.230 0.000
-3.333 0.000 8.414
Mg Cu P O
4 4 8 28
Cartesian
2.276 7.670 7.435 Mg
-0.393 3.555 5.104 Mg
3.942 4.675 3.228 Mg
1.273 0.560 0.897 Mg
-0.239 0.483 5.513 Cu
3.788 7.747 2.819 Cu
2.121 4.598 7.026 Cu
1.427 3.632 1.306 Cu
-0.426 6.332 1.990 P
0.503 2.272 8.146 P
-2.092 6.013 6.197 P
2.169 1.843 3.939 P
5.641 2.217 2.135 P
1.380 6.388 4.393 P
3.046 5.958 0.186 P
3.975 1.898 6.342 P
4.829 2.782 0.870 O
-1.936 4.917 5.153 O
-0.270 7.428 0.946 O
0.601 3.399 7.095 O
-1.280 5.448 7.462 O
5.123 0.868 2.562 O
2.948 4.832 1.237 O
0.921 0.921 7.621 O
0.767 1.914 4.581 O
-1.574 7.363 5.770 O
3.456 3.247 6.769 O
3.334 6.100 6.629 O
-1.452 1.985 5.910 O
3.162 1.333 5.077 O
0.093 4.983 1.563 O
3.819 0.802 7.386 O
0.215 2.130 1.703 O
2.628 7.309 0.711 O
2.433 2.201 0.374 O
1.116 6.029 7.958 O
1.282 7.514 5.444 O
2.587 3.194 3.414 O
0.961 5.036 4.918 O
5.485 3.313 3.179 O
5.001 6.245 2.422 O
2.267 0.717 2.888 O
2.782 6.317 3.751 O
0.387 6.897 3.255 O
```

=====

# 6
The following is a DFT calculation (PBEsol) of a geometry-optimized MgCuP2O7 structure.

Properties
**Uncorrected energy**: -7.01 eV/atom
**Calculated volume**: 124.5 Å³/f.u.
**Energy relative to the lowest polymorph listed for this composition**: 26 meV/atom

Cell and atoms, written as POSCAR:
```
MgCuP2O7
1.0
6.104 -0.010 0.265
0.988 6.178 -0.028
1.468 2.331 6.641
Mg Cu P O
2 2 4 14
Cartesian
6.316 2.200 1.534 Mg
2.244 6.299 5.344 Mg
5.299 2.368 5.333 Cu
3.262 6.131 1.544 Cu
2.322 3.085 5.118 P
6.238 5.414 1.759 P
5.306 5.501 4.613 P
3.254 2.998 2.264 P
5.870 4.890 3.208 O
2.690 3.608 3.669 O
7.220 2.120 5.249 O
1.340 6.378 1.628 O
4.616 2.403 2.544 O
3.944 6.095 4.333 O
3.237 4.206 1.348 O
5.323 4.293 5.529 O
6.578 4.142 0.988 O
1.982 4.356 5.889 O
5.103 6.205 1.130 O
3.457 2.293 5.747 O
2.183 1.953 1.848 O
6.377 6.546 5.029 O
```

=====

# 7
The following is a DFT calculation (PBEsol) of a geometry-optimized MgCuSi2O6 structure.

Properties
**Uncorrected energy**: -7.24 eV/atom
**Calculated volume**: 106.7 Å³/f.u.
**Energy relative to the lowest polymorph listed for this composition**: 0 meV/atom

Cell and atoms, written as POSCAR:
```
MgCuSi2O6
1.0
-3.849 -0.997 -3.450
1.349 -8.725 1.015
-12.131 -0.292 13.618
Mg Cu Si O
8 8 16 48
Cartesian
-4.930 -7.880 4.595 Mg
-9.701 -2.133 6.589 Mg
-2.578 -3.445 0.690 Mg
-4.760 -2.279 -1.228 Mg
-9.871 -7.735 12.412 Mg
-12.052 -6.568 10.493 Mg
-7.111 -6.714 2.676 Mg
-7.519 -3.300 8.507 Mg
-12.955 -0.923 9.808 Cu
-1.676 -9.091 1.376 Cu
-6.675 -8.960 9.140 Cu
-7.955 -1.053 2.043 Cu
-9.256 -5.212 6.921 Cu
-5.374 -4.801 4.262 Cu
-10.373 -4.671 12.027 Cu
-4.257 -5.343 -0.843 Cu
-10.533 -3.571 9.499 Si
-6.568 -1.813 5.718 Si
-12.513 -1.928 12.635 Si
-1.939 -7.456 3.585 Si
-11.385 -6.905 7.398 Si
-5.403 -2.095 1.885 Si
-8.254 -3.854 4.172 Si
-0.431 -6.044 0.094 Si
-6.377 -6.159 7.011 Si
-3.245 -3.109 3.786 Si
-4.098 -6.442 1.684 Si
-9.227 -7.918 9.299 Si
-8.063 -8.200 5.466 Si
-12.691 -2.557 7.598 Si
-14.199 -3.969 11.089 Si
-2.117 -8.085 -1.451 Si
-3.466 -4.559 4.471 O
-2.155 -9.365 -0.456 O
-11.165 -5.454 6.713 O
-11.496 -6.285 12.463 O
-13.172 -8.387 10.925 O
0.251 -6.965 1.281 O
-2.137 -3.010 2.617 O
-11.656 -2.605 6.361 O
-7.686 -1.815 6.922 O
-2.974 -7.409 4.822 O
-3.858 -4.987 1.016 O
-5.268 -6.097 5.800 O
-12.475 -0.648 11.640 O
-4.276 -2.118 0.731 O
-9.910 -0.627 7.934 O
-7.243 -5.109 3.990 O
-4.721 -9.386 3.250 O
-6.781 -2.921 1.450 O
-11.950 -2.835 9.063 O
-12.848 -3.252 11.709 O
-1.458 -1.627 0.258 O
-9.517 -3.496 8.248 O
-0.884 -4.645 0.778 O
-4.671 -7.249 0.346 O
-6.944 -8.199 4.262 O
-10.354 -7.895 10.453 O
-7.388 -4.905 7.194 O
-9.363 -3.916 5.383 O
-13.746 -5.368 10.406 O
-4.791 -2.850 3.225 O
-12.027 -9.854 8.946 O
-9.960 -2.764 10.838 O
-7.849 -7.092 9.733 O
-5.971 -0.389 5.223 O
-3.134 -3.728 -1.280 O
-8.659 -9.624 5.960 O
-9.840 -7.163 7.959 O
-14.881 -3.048 9.902 O
-7.324 -2.516 4.430 O
-2.680 -7.178 2.121 O
-1.782 -6.761 -0.526 O
-7.307 -7.497 6.753 O
-9.339 -7.294 4.946 O
-5.113 -6.517 2.936 O
-10.773 -5.026 10.167 O
-5.291 -2.720 6.237 O
-12.494 -7.003 8.566 O
-2.603 -0.160 2.237 O
```

=====

# 8
The following is a DFT calculation (PBEsol) of a geometry-optimized MgCu2Si4O12 structure.

Properties
**Uncorrected energy**: -7.21 eV/atom
**Calculated volume**: 208.5 Å³/f.u.

Cell and atoms, written as POSCAR:
```
MgCu2Si4O12
1.0
5.272 -0.019 -0.058
0.574 5.625 0.077
1.154 0.623 7.025
Mg Cu Si O
1 2 4 12
Cartesian
0.000 0.000 0.000 Mg
3.377 4.740 1.336 Cu
3.622 1.490 5.708 Cu
2.717 4.838 4.375 Si
5.325 3.791 5.636 Si
1.674 2.439 1.408 Si
4.282 1.391 2.668 Si
2.114 0.547 5.264 O
4.886 5.683 1.779 O
5.423 4.974 6.777 O
2.559 5.312 2.833 O
4.025 3.905 4.660 O
1.827 3.931 0.730 O
1.435 3.937 4.853 O
5.564 2.293 2.190 O
5.173 2.299 6.314 O
2.974 2.325 2.384 O
4.441 0.917 4.210 O
1.577 1.256 0.267 O
```

=====

# 9
The following is a DFT calculation (PBEsol) of a geometry-optimized Mg3Cu2Si4O14 structure.

Properties
**Uncorrected energy**: -7.02 eV/atom
**Calculated volume**: 259.9 Å³/f.u.
**DOS at the Fermi energy**: 1.12 states/eV/cell

Cell and atoms, written as POSCAR:
```
Mg3Cu2Si4O14
1.0
-7.490 -0.546 -1.057
-4.854 -1.348 7.887
-4.811 7.308 3.112
Mg Cu Si O
6 4 8 28
Cartesian
-11.977 1.706 7.526 Mg
-3.780 -0.516 5.003 Mg
-13.375 5.930 4.939 Mg
-7.778 4.928 3.889 Mg
-5.178 3.708 2.416 Mg
-9.377 0.486 6.053 Mg
-10.670 4.718 3.481 Cu
-6.485 0.697 6.461 Cu
0.000 0.000 0.000 Cu
-4.833 2.980 5.499 Cu
-10.009 1.495 2.461 Si
-11.186 4.742 8.476 Si
-14.136 4.738 8.981 Si
-7.342 1.901 3.759 Si
-5.969 0.672 1.466 Si
-3.019 0.676 0.961 Si
-9.813 3.513 6.183 Si
-7.146 3.919 7.481 Si
-10.583 2.079 6.094 O
-5.085 1.169 5.411 O
-7.980 -0.057 7.344 O
-4.290 5.553 3.133 O
-13.273 2.516 6.077 O
-6.504 0.701 3.013 O
-9.384 4.167 4.756 O
-10.107 5.777 9.168 O
-10.651 4.713 6.929 O
-8.512 3.109 7.113 O
-12.070 4.245 4.531 O
-3.882 2.899 3.865 O
-2.598 1.968 1.884 O
-6.870 6.676 4.228 O
-4.454 0.072 1.504 O
-7.048 -0.363 0.774 O
-5.864 2.158 0.873 O
-8.643 2.306 2.829 O
-9.861 0.027 3.090 O
-12.702 5.342 8.438 O
-14.558 3.447 8.058 O
-12.865 -0.139 6.809 O
-7.294 5.387 6.853 O
-9.175 5.471 2.598 O
-11.291 3.256 9.069 O
-7.771 1.247 5.186 O
-10.286 -1.261 5.714 O
-6.572 3.336 3.848 O
```

=====

# 10
The following is a DFT calculation (PBEsol) of a geometry-optimized MgCuSi2O6 structure.

Properties
**Uncorrected energy**: -7.20 eV/atom
**Calculated volume**: 102.3 Å³/f.u.
**Energy relative to the lowest polymorph listed for this composition**: 39 meV/atom
**DOS at the Fermi energy**: 5.95 states/eV/cell

Cell and atoms, written as POSCAR:
```
MgCuSi2O6
1.0
4.929 -0.229 -0.226
1.393 6.379 -0.046
1.393 0.039 6.379
Mg Cu Si O
2 2 4 12
Cartesian
2.625 4.618 1.624 Mg
5.090 1.571 4.483 Mg
5.090 5.580 0.421 Cu
2.625 0.610 5.686 Cu
5.408 4.915 3.711 Si
4.772 2.299 1.130 Si
2.943 3.891 4.977 Si
2.307 1.275 2.396 Si
3.801 4.445 3.636 O
1.449 2.609 1.824 O
3.914 1.745 2.471 O
6.266 3.581 4.283 O
6.001 5.258 2.270 O
4.179 3.735 0.768 O
1.714 0.932 3.838 O
3.536 2.454 5.340 O
3.084 5.016 6.164 O
2.166 0.074 1.288 O
5.549 6.116 4.820 O
4.631 1.174 -0.056 O
```

=====

# 11
The following is a DFT calculation (PBEsol) of a geometry-optimized MgCu2Te2O8 structure.

Properties
**Uncorrected energy**: -5.64 eV/atom
**Calculated volume**: 161.3 Å³/f.u.
**DOS at the Fermi energy**: 0.19 states/eV/cell

Cell and atoms, written as POSCAR:
```
MgCu2Te2O8
1.0
6.255 0.000 0.497
0.000 8.839 0.000
0.775 0.000 11.731
Mg Cu Te O
4 8 8 32
Cartesian
0.822 1.219 0.518 Mg
6.208 7.620 11.711 Mg
5.821 5.639 5.845 Mg
1.209 3.200 6.384 Mg
5.737 1.397 10.428 Cu
2.762 0.598 7.070 Cu
4.267 8.241 5.158 Cu
1.292 7.442 1.800 Cu
5.350 3.022 4.563 Cu
2.375 3.821 1.204 Cu
1.679 5.817 7.666 Cu
4.655 5.018 11.024 Cu
1.140 3.778 10.266 Te
0.753 0.641 4.401 Te
3.817 0.823 2.209 Te
6.277 8.198 7.828 Te
3.213 8.016 10.020 Te
2.826 5.242 4.154 Te
4.204 3.597 8.074 Te
5.890 5.061 1.962 Te
0.924 2.538 4.327 O
4.453 8.605 7.636 O
1.530 5.051 5.555 O
5.112 0.631 0.808 O
1.311 1.881 10.193 O
6.106 6.301 7.901 O
0.800 1.047 6.572 O
3.097 7.945 1.911 O
3.484 5.314 7.777 O
1.931 7.708 7.266 O
5.486 3.288 10.828 O
3.933 0.894 10.317 O
6.229 7.792 5.657 O
5.991 4.697 3.826 O
2.970 2.509 7.103 O
2.582 1.910 1.237 O
0.653 0.277 2.537 O
3.546 3.525 4.452 O
1.039 4.142 8.402 O
5.500 3.788 6.673 O
4.066 4.654 1.771 O
5.099 1.131 4.963 O
5.719 6.958 2.036 O
0.413 3.372 0.706 O
1.917 8.208 11.421 O
4.447 6.929 10.992 O
2.577 0.234 4.593 O
2.964 4.185 10.458 O
6.617 5.467 11.522 O
4.060 6.330 5.126 O
1.544 5.551 1.400 O
6.377 8.562 9.692 O
```